This record from Alexandria describes crystalline CrFePCl2 at its relaxed geometry. The functional is PBE-GGA.

Space-group type: P4/mmm
Raw total energy (Ry/atom): -0.3722
Formation energy without anion corrections (eV/atom): 0.374

```
CrFePCl2
1.0
4.6484 0.0000 0.0000
0.0000 4.6484 0.0000
0.0000 0.0000 4.8552
Cr Fe P Cl
1 1 1 2
Direct
0.0000 0.0000 0.0000
0.5000 0.5000 0.5000
0.0000 0.0000 0.5000
0.0000 0.5000 0.0000
0.5000 0.0000 0.0000
```



This record from Alexandria describes crystalline RbCrFe2Cl8 at its relaxed geometry. The functional is PBE-GGA.

Space-group type: R-3
Raw total energy (Ry/atom): -0.3333
Formation energy without anion corrections (eV/atom): -1.010

```
RbCrFe2Cl8
1.0
-3.0870 4.8896 2.3380
-6.1998 -0.2414 0.6390
-2.0211 -2.0978 10.0389
Rb Cr Fe Cl
1 1 2 8
Direct
0.5000 0.5000 0.5000
0.0000 0.0000 0.0000
0.2639 0.2639 0.2082
0.7361 0.7361 0.7918
0.1881 0.1881 0.4356
0.6502 0.2660 0.1424
0.8119 0.8119 0.5644
0.9414 0.6502 0.1424
0.0586 0.3498 0.8576
0.2660 0.9414 0.1424
0.7340 0.0586 0.8576
0.3498 0.7340 0.8576
```



This record from Alexandria describes crystalline RbCrFeCl6 at its relaxed geometry. The functional is PBE-GGA.

Space-group type: C2
Raw total energy (Ry/atom): -0.3322
Formation energy without anion corrections (eV/atom): -1.171

```
RbCrFeCl6
1.0
6.3456 -0.0022 -0.0001
3.1710 5.4920 -0.0003
-0.0006 -0.0015 7.3872
Rb Cr Fe Cl
1 1 1 6
Direct
0.9999 0.0000 0.0000
0.6672 0.6664 0.5000
0.3330 0.3335 0.5000
0.9863 0.3803 0.3144
0.3785 0.9868 0.6844
0.6351 0.3788 0.6844
0.9862 0.6334 0.6856
0.3785 0.6347 0.3156
0.6351 0.9861 0.3156
```



This record from Alexandria describes crystalline CrFeS2Cl at its relaxed geometry. The functional is PBE-GGA.

Space-group type: P4/mmm
Raw total energy (Ry/atom): -0.3996
Formation energy without anion corrections (eV/atom): 0.201

```
CrFeS2Cl
1.0
-0.1437 2.4968 3.7653
3.7042 -2.0917 1.5284
2.6926 3.2626 -2.0607
Cr S Fe Cl
1 2 1 1
Direct
0.5000 0.5000 0.5000
0.0000 0.5000 0.0000
0.5000 0.0000 0.0000
0.0000 0.0000 0.0000
0.0000 0.0000 0.5000
```



This record from Alexandria describes crystalline Y2CrFeCl at its relaxed geometry. The functional is PBE-GGA.

Space-group type: P4/mmm
Raw total energy (Ry/atom): -0.4363
Formation energy without anion corrections (eV/atom): 0.636

```
Y2CrFeCl
1.0
5.3555 0.0000 0.0000
0.0000 4.1908 0.0000
0.0000 0.0000 5.3555
Y Cr Fe Cl
2 1 1 1
Direct
0.0000 0.0000 0.5000
0.5000 0.0000 0.0000
0.0000 0.0000 0.0000
0.5000 0.5000 0.5000
0.0000 0.5000 0.0000
```



This record from Alexandria describes crystalline YCr2FeCl at its relaxed geometry. The functional is PBE-GGA.

Space-group type: P4/mmm
Raw total energy (Ry/atom): -0.4848
Formation energy without anion corrections (eV/atom): 0.609

```
YCr2FeCl
1.0
4.3036 0.0000 0.0000
0.0000 4.2456 0.0000
0.0000 0.0000 4.3036
Y Cr Fe Cl
1 2 1 1
Direct
0.5000 0.5000 0.5000
0.0000 0.0000 0.5000
0.5000 0.0000 0.0000
0.0000 0.5000 0.0000
0.0000 0.0000 0.0000
```



This record from Alexandria describes crystalline CrGaCl3 at its relaxed geometry. The functional is PBE-GGA.

Space-group type: Pm-3m
Raw total energy (Ry/atom): -0.3264
Formation energy without anion corrections (eV/atom): -0.804

```
CrGaCl3
1.0
-4.3173 0.4918 -2.3156
-1.5393 -4.2422 1.9690
-1.7984 2.4504 3.8735
Cr Ga Cl
1 1 3
Direct
0.0000 0.0000 0.0000
0.5000 0.5000 0.5000
0.0000 0.5000 0.0000
0.0000 0.0000 0.5000
0.5000 0.0000 0.0000
```



This record from Alexandria describes crystalline Cr2GaCl at its relaxed geometry. The functional is PBE-GGA.

Space-group type: Fm-3m
Raw total energy (Ry/atom): -0.4030
Formation energy without anion corrections (eV/atom): 0.547

```
Cr2GaCl
1.0
0.0000 3.2427 3.2427
3.2427 0.0000 3.2427
3.2427 3.2427 0.0000
Cr Ga Cl
2 1 1
Direct
0.2500 0.2500 0.2500
0.7500 0.7500 0.7500
0.5000 0.5000 0.5000
0.0000 0.0000 0.0000
```



This record from Alexandria describes crystalline Cr3GaCl at its relaxed geometry. The functional is PBE-GGA.

Space-group type: Pm-3m
Raw total energy (Ry/atom): -0.4400
Formation energy without anion corrections (eV/atom): 0.762

```
Cr3GaCl
1.0
-3.5010 -0.8397 -2.0295
-1.9971 -0.3720 3.5991
-0.9139 4.0296 -0.0907
Cr Ga Cl
3 1 1
Direct
0.0000 0.5000 0.0000
0.0000 0.0000 0.5000
0.5000 0.0000 0.0000
0.5000 0.5000 0.5000
0.0000 0.0000 0.0000
```



This record from Alexandria describes crystalline Cr3GaCl at its relaxed geometry. The functional is PBE-GGA.

Space-group type: Pm-3m
Raw total energy (Ry/atom): -0.4259
Formation energy without anion corrections (eV/atom): 0.955

```
Cr3GaCl
1.0
4.8656 0.0000 0.0000
0.0000 4.8656 0.0000
0.0000 0.0000 4.8656
Cr Ga Cl
3 1 1
Direct
0.0000 0.5000 0.0000
0.0000 0.0000 0.5000
0.5000 0.0000 0.0000
0.0000 0.0000 0.0000
0.5000 0.5000 0.5000
```



This record from Alexandria describes crystalline CrGaCl2 at its relaxed geometry. The functional is PBE-GGA.

Space-group type: Fm-3m
Raw total energy (Ry/atom): -0.3155
Formation energy without anion corrections (eV/atom): -0.207

```
CrGaCl2
1.0
2.2744 -3.4101 2.7450
-2.4824 -2.3731 3.5417
-1.1325 -4.7694 -0.5537
Cr Ga Cl
1 1 2
Direct
0.0000 0.0000 0.0000
0.5000 0.5000 0.5000
0.2500 0.2500 0.2500
0.7500 0.7500 0.7500
```



This record from Alexandria describes crystalline Cr2GaCl at its relaxed geometry. The functional is PBE-GGA.

Space-group type: I-42d
Raw total energy (Ry/atom): -0.4087
Formation energy without anion corrections (eV/atom): 0.469

```
Cr2GaCl
1.0
6.9700 0.0000 0.0000
0.0000 6.9700 0.0000
3.4850 3.4850 3.1747
Cr Ga Cl
4 2 2
Direct
0.6133 0.1250 0.2500
0.1367 0.6250 0.2500
0.3750 0.3867 0.7500
0.8750 0.8633 0.7500
0.0000 0.0000 0.0000
0.7500 0.2500 0.5000
0.5000 0.5000 0.0000
0.2500 0.7500 0.5000
```